CdAs2Pt2: relaxed, PBE.

The space group is I4/mmm (No. 139) and the conventional cell measures 4.0240, 4.0240 and 11.9883 Å, with angles of 90.00, 90.00 and 90.00 degrees. The inequivalent atoms are Cd at (0.0000, 0.0000, 0.0000), As at (0.0000, 0.5000, 0.2500) and Pt at (0.0000, 0.0000, 0.3900).

The energy relative to the lowest polymorph listed for this composition comes out at 31 meV per atom. The formation energy comes out at -0.06 eV per atom.